VSn3Sb: optimized geometry, GGA-PBE.

Cell and atoms, written as POSCAR:
```
VSn3Sb
1.0
5.215 0.000 0.000
0.000 5.215 0.000
0.000 0.000 5.215
Sb Sn V
1 3 1
Direct
0.500 0.500 0.500 Sb
0.000 0.500 0.000 Sn
0.000 0.000 0.500 Sn
0.500 0.000 0.000 Sn
0.000 0.000 0.000 V
```

Calculated values
ΔE to the lowest computed polymorph (eV/atom): 0.000
Crystal system: cubic
SG: No. 221
Uncorrected formation energy (meV per atom): 387
Total magnetic moment (μB per atom): 0.36